[1]
DFT (PBE) results for an optimized crystal structure of Pm2YMn.

Properties
- E_form (eV/atom) = 0.538
- N(E_F) (states/eV/atom) = 1.339
- ρ (g/cm³) = 6.0
- V (Å³ per cell) = 119.8
- space group = R-3m, No. 166

CIF file:
```
data_Pm2YMn
_cell_length_a 11.822
_cell_length_b 11.822
_cell_length_c 11.822
_cell_angle_alpha 16.76
_cell_angle_beta 16.76
_cell_angle_gamma 16.76
_space_group_name_H-M_alt 'P 1'
_space_group_IT_number 1
loop_
_space_group_symop_operation_xyz
'x,y,z'
loop_
_atom_site_label
_atom_site_type_symbol
_atom_site_fract_x
_atom_site_fract_y
_atom_site_fract_z
Pm1 Pm 0.082 0.082 0.082
Pm2 Pm 0.918 0.918 0.918
Y1 Y 0.500 0.500 0.500
Mn1 Mn 0.000 0.000 0.000
```


[2]
DFT (PBE) results for an optimized crystal structure of ScAlW2.

Properties
- E_form (eV/atom) = 0.154
- N(E_F) (states/eV/atom) = 0.616
- ρ (g/cm³) = 10.7
- V (Å³ per cell) = 68.4
- space group = Cm, No. 8

CIF file:
```
data_ScAlW2
_cell_length_a 4.905
_cell_length_b 4.905
_cell_length_c 5.246
_cell_angle_alpha 94.80
_cell_angle_beta 94.80
_cell_angle_gamma 32.94
_space_group_name_H-M_alt 'P 1'
_space_group_IT_number 1
loop_
_space_group_symop_operation_xyz
'x,y,z'
loop_
_atom_site_label
_atom_site_type_symbol
_atom_site_fract_x
_atom_site_fract_y
_atom_site_fract_z
Sc1 Sc 0.000 0.000 0.000
Al1 Al 0.748 0.748 0.246
W1 W 0.239 0.239 0.726
W2 W 0.484 0.484 0.494
```


[3]
DFT (PBE) results for an optimized crystal structure of Ba4Sr2Pt.

Properties
- E_form (eV/atom) = -0.162
- N(E_F) (states/eV/atom) = 1.190
- ρ (g/cm³) = 3.7
- V (Å³ per cell) = 416.9
- space group = I4/mmm, No. 139

CIF file:
```
data_Ba4Sr2Pt
_cell_length_a 11.608
_cell_length_b 11.608
_cell_length_c 11.608
_cell_angle_alpha 148.87
_cell_angle_beta 148.87
_cell_angle_gamma 44.61
_space_group_name_H-M_alt 'P 1'
_space_group_IT_number 1
loop_
_space_group_symop_operation_xyz
'x,y,z'
loop_
_atom_site_label
_atom_site_type_symbol
_atom_site_fract_x
_atom_site_fract_y
_atom_site_fract_z
Ba1 Ba 0.000 0.500 0.500
Ba2 Ba 0.146 0.146 0.000
Ba3 Ba 0.500 0.000 0.500
Ba4 Ba 0.854 0.854 0.000
Sr1 Sr 0.344 0.344 0.000
Sr2 Sr 0.656 0.656 0.000
Pt1 Pt 0.000 0.000 0.000
```